1.
In3HgAs | the Alexandria database | PBE | relaxed; symmetry = No. 221; ΔH_f (0 K) = 0.28 eV per atom
1.0
5.4585 0.0000 0.0000
0.0000 5.4585 0.0000
0.0000 0.0000 5.4585
In Hg As
3 1 1
direct
0.0000 0.0000 0.5000
0.0000 0.5000 0.0000
0.5000 0.0000 0.0000
0.5000 0.5000 0.5000
0.0000 0.0000 0.0000

=====

2.
BeAl3Bi | the Alexandria database | PBE | relaxed; symmetry = No. 221; ΔH_f (0 K) = 0.33 eV per atom; energy above the most stable polymorph in this dataset = 0.00 eV/f.u.
1.0
4.6013 0.0000 0.0000
0.0000 4.6013 0.0000
0.0000 0.0000 4.6013
Be Al Bi
1 3 1
direct
0.0000 0.0000 0.0000
0.0000 0.0000 0.5000
0.0000 0.5000 0.0000
0.5000 0.0000 0.0000
0.5000 0.5000 0.5000

=====

3.
TmHg6Au | the Alexandria database | PBE | relaxed; symmetry = No. 166; ΔH_f (0 K) = 0.14 eV per atom
1.0
3.0912 1.7847 7.7579
-3.0912 1.7847 7.7579
0.0000 -3.5694 7.7579
Tm Hg Au
1 6 1
direct
0.0000 0.0000 0.0000
0.0696 0.0696 0.5562
0.0696 0.5562 0.0696
0.4438 0.9304 0.9304
0.5562 0.0696 0.0696
0.9304 0.4438 0.9304
0.9304 0.9304 0.4438
0.5000 0.5000 0.5000

=====

4.
TeAs2Pt | the Alexandria database | PBE | relaxed; symmetry = No. 160; E_form (uncorrected) = -0.276 eV per formula unit
1.0
1.9608 1.1321 6.3550
-1.9608 1.1321 6.3550
0.0000 -2.2642 6.3550
Te As Pt
1 2 1
direct
0.0000 0.0000 0.0000
0.5149 0.5149 0.5149
0.7659 0.7659 0.7659
0.2515 0.2515 0.2515